Entry 1:
A plane-wave DFT calculation with PBE was carried out for a relaxed LaDyY5Ho2 crystal.

Unit cell a=10.4012 b=10.4012 c=10.5249 alpha=90.00 beta=90.00 gamma=148.51
Closest atoms and distances in Å follow each position.
Fractional positions:
La1 0.0832 0.9168 0.5000  5 Y 3.05-3.29
La2 0.9168 0.0832 0.0000  5 Y 3.05-3.29
Dy1 0.3031 0.6969 0.0679  2 Ho 3.40-3.62, 8 Y 3.49-3.79, 2 La 3.69
Dy2 0.6969 0.3031 0.5679  2 Ho 3.40-3.62, 8 Y 3.49-3.79, 2 La 3.69
Y1 0.0213 0.9787 0.7892  2 La 3.05-3.29
Y2 0.1173 0.8827 0.0774  4 Ho 3.56-3.59, 6 Y 3.56-3.89, 1 Dy 3.72
Y3 0.2028 0.7972 0.7625  4 Y 3.41-3.73, 3 Dy 3.49-3.79, 3 Ho 3.55-3.72, 1 La 3.65
Y4 0.2221 0.7779 0.3751  1 La 3.08, 1 Ho 3.32, 2 Y 3.41
Y5 0.4836 0.5164 0.0771  2 La 3.23, 3 Ho 3.36-3.60, 2 Y 3.60
Y6 0.5164 0.4836 0.5771  2 La 3.23, 3 Ho 3.36-3.60, 2 Y 3.60
Y7 0.7779 0.2221 0.8751  1 La 3.08, 1 Ho 3.32, 2 Y 3.41
Y8 0.7972 0.2028 0.2625  4 Y 3.41-3.73, 3 Dy 3.49-3.79, 3 Ho 3.55-3.72, 1 La 3.65
Y9 0.8827 0.1173 0.5774  4 Ho 3.56-3.59, 6 Y 3.56-3.89, 1 Dy 3.72
Y10 0.9787 0.0213 0.2892  2 La 3.05-3.29
Ho1 0.3877 0.6123 0.3719  9 Y 3.32-3.65, 1 Dy 3.62
Ho2 0.3879 0.6121 0.7875  7 Y 3.39-3.72, 1 Dy 3.40, 2 La 3.65
Ho3 0.6121 0.3879 0.2875  7 Y 3.39-3.72, 1 Dy 3.40, 2 La 3.65
Ho4 0.6123 0.3877 0.8719  9 Y 3.32-3.65, 1 Dy 3.62

Summary:
N(E_F) ... 15.920 states/eV/f.u.
Total DFT energy (no corrections) ... -5.5020 eV per atom
Energy of formation from the pure elements ... 0.17 eV/atom
Space-group type ... Cmc2_1
Size of the total moment ... 0.000 μB/f.u.


Entry 2:
A plane-wave DFT calculation with PBE was carried out for a relaxed La2Dy2Y4Ho crystal.

Unit cell a=9.5846 b=9.5846 c=9.6362 alpha=115.22 beta=115.22 gamma=21.84
Closest atoms and distances in Å follow each position.
Fractional positions:
La1 0.1649 0.1649 0.4972  3 Y 3.57-3.61, 3 Dy 3.58-3.63, 2 Ho 3.61, 4 La 3.63-3.66
La2 0.8351 0.8351 0.5028  3 Y 3.57-3.61, 3 Dy 3.58-3.63, 2 Ho 3.61, 4 La 3.63-3.66
Dy1 0.3525 0.3525 0.8368  7 Y 3.52-3.64, 3 La 3.58-3.63, 2 Dy 3.63
Dy2 0.6475 0.6475 0.1632  7 Y 3.52-3.64, 3 La 3.58-3.63, 2 Dy 3.63
Y1 0.0200 0.0200 0.8366  4 Dy 3.52-3.64, 5 Y 3.54-3.63, 1 La 3.57, 2 Ho 3.59
Y2 0.3144 0.3144 0.1634  3 Dy 3.52-3.63, 6 Y 3.53-3.63, 1 Ho 3.59, 2 La 3.61
Y3 0.6856 0.6856 0.8366  3 Dy 3.52-3.63, 6 Y 3.53-3.63, 1 Ho 3.59, 2 La 3.61
Y4 0.9800 0.9800 0.1634  4 Dy 3.52-3.64, 5 Y 3.54-3.63, 1 La 3.57, 2 Ho 3.59
Ho1 0.5000 0.5000 0.5000  6 Y 3.59, 4 La 3.61, 2 Ho 3.63

Summary:
N(E_F) ... 13.532 states/eV/f.u.
Total DFT energy (no corrections) ... -5.5005 eV per atom
Energy of formation from the pure elements ... 0.00 eV/atom
Space-group type ... C2/m
Size of the total moment ... 0.000 μB/f.u.


Entry 3:
A plane-wave DFT calculation with PBE was carried out for a relaxed La6DyYHo2 crystal.

Unit cell a=9.0490 b=9.0490 c=9.8008 alpha=94.27 beta=94.27 gamma=118.06
Closest atoms and distances in Å follow each position.
Fractional positions:
La1 0.0054 0.5602 0.1930  3 La 3.33-3.69, 1 Dy 3.46, 1 Ho 3.56, 1 Y 3.67
La2 0.1109 0.7596 0.5505  6 La 3.47-3.86, 1 Ho 3.50, 2 Y 3.68-3.87
La3 0.2404 0.8891 0.9495  6 La 3.47-3.86, 1 Ho 3.50, 2 Y 3.68-3.87
La4 0.2949 0.5062 0.3801  3 La 3.33-3.47, 3 Ho 3.33-3.50, 2 Dy 3.45-3.62
La5 0.4398 0.9946 0.3070  3 La 3.33-3.69, 1 Dy 3.46, 1 Ho 3.56, 1 Y 3.67
La6 0.4938 0.7051 0.1199  3 La 3.33-3.47, 3 Ho 3.33-3.50, 2 Dy 3.45-3.62
La7 0.5062 0.2949 0.8801  3 La 3.33-3.47, 3 Ho 3.33-3.50, 2 Dy 3.45-3.62
La8 0.5602 0.0054 0.6930  3 La 3.33-3.69, 1 Dy 3.46, 1 Ho 3.56, 1 Y 3.67
La9 0.7051 0.4938 0.6199  3 La 3.33-3.47, 3 Ho 3.33-3.50, 2 Dy 3.45-3.62
La10 0.7596 0.1109 0.0505  6 La 3.47-3.86, 1 Ho 3.50, 2 Y 3.68-3.87
La11 0.8891 0.2404 0.4495  6 La 3.47-3.86, 1 Ho 3.50, 2 Y 3.68-3.87
La12 0.9946 0.4398 0.8070  3 La 3.33-3.69, 1 Dy 3.46, 1 Ho 3.56, 1 Y 3.67
Dy1 0.4114 0.5886 0.7500  6 La 3.45-3.62, 2 Ho 3.58
Dy2 0.5886 0.4114 0.2500  6 La 3.45-3.62, 2 Ho 3.58
Y1 0.0254 0.9746 0.2500  4 Ho 3.44-3.45, 4 La 3.67-3.68
Y2 0.9746 0.0254 0.7500  4 Ho 3.44-3.45, 4 La 3.67-3.68
Ho1 0.1969 0.2936 0.0453  5 La 3.33-3.56, 2 Y 3.44-3.45, 1 Dy 3.58
Ho2 0.2936 0.1969 0.5453  5 La 3.33-3.56, 2 Y 3.44-3.45, 1 Dy 3.58
Ho3 0.7064 0.8031 0.4547  5 La 3.33-3.56, 2 Y 3.44-3.45, 1 Dy 3.58
Ho4 0.8031 0.7064 0.9547  5 La 3.33-3.56, 2 Y 3.44-3.45, 1 Dy 3.58

Summary:
N(E_F) ... 15.539 states/eV/f.u.
Total DFT energy (no corrections) ... -4.8715 eV per atom
Energy of formation from the pure elements ... 0.11 eV/atom
Space-group type ... C2/c
Size of the total moment ... 0.000 μB/f.u.


Entry 4:
A plane-wave DFT calculation with PBE was carried out for a relaxed LaDy2YHo crystal.

Unit cell a=6.4022 b=6.4022 c=8.1852 alpha=90.00 beta=90.00 gamma=98.25
Closest atoms and distances in Å follow each position.
Fractional positions:
La1 0.1088 0.8912 0.7500  1 Y 2.82, 4 Dy 3.02
La2 0.8912 0.1088 0.2500  1 Y 2.82, 4 Dy 3.02
Dy1 0.2328 0.2328 0.0000  2 La 3.02, 2 Y 3.18
Dy2 0.2328 0.2328 0.5000  2 La 3.02, 2 Y 3.18
Dy3 0.7672 0.7672 0.0000  2 La 3.02, 2 Y 3.18
Dy4 0.7672 0.7672 0.5000  2 La 3.02, 2 Y 3.18
Y1 0.3997 0.6003 0.7500  1 La 2.82
Y2 0.6003 0.3997 0.2500  1 La 2.82
Ho1 0.2550 0.7450 0.2500  1 Y 3.34, 1 La 3.52
Ho2 0.7450 0.2550 0.7500  1 Y 3.34, 1 La 3.52

Summary:
N(E_F) ... 6.519 states/eV/f.u.
Total DFT energy (no corrections) ... -4.5743 eV per atom
Energy of formation from the pure elements ... 0.46 eV/atom
Space-group type ... Cmcm
Size of the total moment ... 0.000 μB/f.u.


Entry 5:
A plane-wave DFT calculation with PBE was carried out for a relaxed La2Dy6YHo3 crystal.

Unit cell a=6.1944 b=6.1944 c=11.8445 alpha=94.99 beta=94.99 gamma=119.99
Closest atoms and distances in Å follow each position.
Fractional positions:
La1 0.1664 0.8336 0.0000  3 La 3.57-3.58, 3 Y 3.58, 6 Dy 3.62-3.63
La2 0.8336 0.1664 0.0000  3 La 3.57-3.58, 3 Y 3.58, 6 Dy 3.62-3.63
Dy1 0.0817 0.4143 0.7450  3 Ho 3.52-3.53, 6 Dy 3.57-3.58, 2 La 3.62-3.63, 1 Y 3.62
Dy2 0.2532 0.2532 0.2553  3 Ho 3.52-3.53, 6 Dy 3.57-3.58, 1 Y 3.62, 2 La 3.63
Dy3 0.4143 0.0817 0.7450  3 Ho 3.52-3.53, 6 Dy 3.57-3.58, 2 La 3.62-3.63, 1 Y 3.62
Dy4 0.5857 0.9183 0.2550  3 Ho 3.52-3.53, 6 Dy 3.57-3.58, 2 La 3.62-3.63, 1 Y 3.62
Dy5 0.7468 0.7468 0.7447  3 Ho 3.52-3.53, 6 Dy 3.57-3.58, 1 Y 3.62, 2 La 3.63
Dy6 0.9183 0.5857 0.2550  3 Ho 3.52-3.53, 6 Dy 3.57-3.58, 2 La 3.62-3.63, 1 Y 3.62
Y1 0.5000 0.5000 0.0000  6 La 3.58, 6 Dy 3.62
Ho1 0.0000 0.0000 0.5000  6 Dy 3.52-3.53, 6 Ho 3.58
Ho2 0.3337 0.6663 0.5000  6 Dy 3.52-3.53, 6 Ho 3.57-3.58
Ho3 0.6663 0.3337 0.5000  6 Dy 3.52-3.53, 6 Ho 3.57-3.58

Summary:
N(E_F) ... 16.373 states/eV/f.u.
Total DFT energy (no corrections) ... -4.7825 eV per atom
Energy of formation from the pure elements ... 0.02 eV/atom
Space-group type ... C2/m
Size of the total moment ... 0.000 μB/f.u.


Entry 6:
A plane-wave DFT calculation with PBE was carried out for a relaxed LaDyY6Ho2 crystal.

Unit cell a=8.8312 b=8.8312 c=9.5338 alpha=93.21 beta=93.21 gamma=117.03
Closest atoms and distances in Å follow each position.
Fractional positions:
La1 0.0305 0.9695 0.7500  4 Ho 3.38-3.51, 4 Y 3.57-3.72
La2 0.9695 0.0305 0.2500  4 Ho 3.38-3.51, 4 Y 3.57-3.72
Dy1 0.4111 0.5889 0.2500  6 Y 3.43-3.50, 2 Ho 3.52
Dy2 0.5889 0.4111 0.7500  6 Y 3.43-3.50, 2 Ho 3.52
Y1 0.0118 0.5594 0.6811  3 Y 3.25-3.57, 2 Ho 3.43-3.57, 1 Dy 3.47, 1 La 3.57
Y2 0.1209 0.7539 0.0577  7 Y 3.43-3.77, 1 Ho 3.52, 2 La 3.72-3.82
Y3 0.2461 0.8791 0.4423  7 Y 3.43-3.77, 1 Ho 3.52, 2 La 3.72-3.82
Y4 0.2929 0.5147 0.8863  4 Y 3.25-3.50, 3 Ho 3.30-3.46, 2 Dy 3.43-3.50
Y5 0.4406 0.9882 0.8189  3 Y 3.25-3.57, 2 Ho 3.43-3.57, 1 Dy 3.47, 1 La 3.57
Y6 0.4853 0.7071 0.6137  4 Y 3.25-3.50, 3 Ho 3.30-3.46, 2 Dy 3.43-3.50
Y7 0.5147 0.2929 0.3863  4 Y 3.25-3.50, 3 Ho 3.30-3.46, 2 Dy 3.43-3.50
Y8 0.5594 0.0118 0.1811  3 Y 3.25-3.57, 2 Ho 3.43-3.57, 1 Dy 3.47, 1 La 3.57
Y9 0.7071 0.4853 0.1137  4 Y 3.25-3.50, 3 Ho 3.30-3.46, 2 Dy 3.43-3.50
Y10 0.7539 0.1209 0.5577  7 Y 3.43-3.77, 1 Ho 3.52, 2 La 3.72-3.82
Y11 0.8791 0.2461 0.9423  7 Y 3.43-3.77, 1 Ho 3.52, 2 La 3.72-3.82
Y12 0.9882 0.4406 0.3189  3 Y 3.25-3.57, 2 Ho 3.43-3.57, 1 Dy 3.47, 1 La 3.57
Ho1 0.1994 0.3029 0.5516  6 Y 3.30-3.57, 2 La 3.38-3.51, 1 Dy 3.52
Ho2 0.3029 0.1994 0.0516  6 Y 3.30-3.57, 2 La 3.38-3.51, 1 Dy 3.52
Ho3 0.6971 0.8006 0.9484  6 Y 3.30-3.57, 2 La 3.38-3.51, 1 Dy 3.52
Ho4 0.8006 0.6971 0.4484  6 Y 3.30-3.57, 2 La 3.38-3.51, 1 Dy 3.52

Summary:
N(E_F) ... 16.188 states/eV/f.u.
Total DFT energy (no corrections) ... -5.6270 eV per atom
Energy of formation from the pure elements ... 0.12 eV/atom
Space-group type ... C2/c
Size of the total moment ... 0.003 μB/f.u.